Compound: Cs2ScI6O
Source: the Alexandria database
Functional: PBE
Structure: relaxed

Raw formation energy: -865 meV/atom
Density: 4.46 g cm⁻³
SG: No. 139
VASP energy: -0.2274 Ry per atom

Cell: 7.8307 7.8307 8.6209 Å, 62.99 62.99 90.00°
Closest atoms and distances in Å follow each position.
Sites, in units of the cell vectors:
Sc  0.0000  0.0000  0.0000  6 I 2.87-2.94
Cs  0.7500  0.2500  0.5000  12 I 3.94-4.31
Cs  0.2500  0.7500  0.5000  12 I 3.94-4.31
I  0.7346  0.7346  0.0000  1 O 2.60
I  0.2654  0.2654  0.0000  1 O 2.60
I  0.2654  0.7346  0.0000  1 O 2.60
I  0.2170  0.2170  0.5659  1 Sc 2.87
I  0.7346  0.2654  0.0000  1 O 2.60
I  0.7830  0.7830  0.4341  1 Sc 2.87
O  0.5000  0.5000  0.0000  4 I 2.60

---

Compound: CsSeIO2
Source: the Alexandria database
Functional: PBE
Structure: relaxed

Distance to the lowest polymorph of the same formula: 0 meV/atom
Raw formation energy: -58 meV/atom
Density: 5.23 g cm⁻³
SG: No. 123
VASP energy: -0.2366 Ry per atom

Cell: 4.5874 4.5874 5.5993 Å, 90.00 90.00 90.00°
Closest atoms and distances in Å follow each position.
Sites, in units of the cell vectors:
O  0.0000  0.5000  0.0000  2 Se 2.29
O  0.5000  0.0000  0.0000  2 Se 2.29
I  0.0000  0.0000  0.5000  2 Se 2.80
Cs  0.5000  0.5000  0.5000  4 I 3.24, 8 O 3.62
Se  0.0000  0.0000  0.0000  4 O 2.29

---

Compound: CsSe2IO8
Source: the Alexandria database
Functional: PBE
Structure: relaxed

Raw formation energy: -727 meV/atom
Density: 3.84 g cm⁻³
SG: No. 12
VASP energy: -0.3538 Ry per atom

Cell: 5.5610 6.5992 7.9433 Å, 66.00 69.51 65.08°
Closest atoms and distances in Å follow each position.
Sites, in units of the cell vectors:
I  0.0000  0.0000  0.0000  4 O 2.15
O  0.3264  0.4095  0.9377  1 Se 1.64
O  0.8442  0.6393  0.6724  1 Se 1.64
O  0.1431  0.0378  0.2011  1 Se 1.76
O  0.6180  0.0378  0.2011  1 Se 1.76
O  0.8569  0.9622  0.7989  1 Se 1.76
O  0.6736  0.5905  0.0623  1 Se 1.64
O  0.1558  0.3607  0.3276  1 Se 1.64
O  0.3820  0.9622  0.7989  1 Se 1.76
Se  0.6990  0.7592  0.8427  4 O 1.64-1.76
Se  0.3010  0.2408  0.1573  4 O 1.64-1.76
Cs  0.5000  0.5000  0.5000  6 O 3.13-3.27

---

Compound: CsSeIO2
Source: the Alexandria database
Functional: PBE
Structure: relaxed

Distance to the lowest polymorph of the same formula: 607 meV/atom
Raw formation energy: 549 meV/atom
Density: 3.84 g cm⁻³
SG: No. 123
VASP energy: -0.1920 Ry per atom

Cell: 4.3021 4.3021 8.6620 Å, 90.00 90.00 90.00°
Closest atoms and distances in Å follow each position.
Sites, in units of the cell vectors:
I  0.0000  0.0000  0.5000  4 Se 3.04
Se  0.5000  0.5000  0.5000  4 I 3.04
O  0.0000  0.5000  0.0000  2 Cs 2.15
O  0.5000  0.0000  0.0000  2 Cs 2.15
Cs  0.0000  0.0000  0.0000  4 O 2.15

---

Compound: CsSeI2O
Source: the Alexandria database
Functional: PBE
Structure: relaxed

Distance to the lowest polymorph of the same formula: 1108 meV/atom
Raw formation energy: 553 meV/atom
Density: 3.35 g cm⁻³
SG: No. 123
VASP energy: -0.1415 Ry per atom

Cell: 7.3802 7.3802 4.3878 Å, 90.00 90.00 90.00°
Closest atoms and distances in Å follow each position.
Sites, in units of the cell vectors:
Se  0.5000  0.5000  0.5000  8 I 4.29, 2 Se 4.39
Cs  0.0000  0.0000  0.0000  2 O 2.19
I  0.5000  0.0000  0.0000  2 Cs 3.69
I  0.0000  0.5000  0.0000  2 Cs 3.69
O  0.0000  0.0000  0.5000  2 Cs 2.19

---

Compound: CsSeI2O8
Source: the Alexandria database
Functional: PBE
Structure: relaxed

Raw formation energy: -432 meV/atom
Density: 4.44 g cm⁻³
SG: No. 12
VASP energy: -0.3202 Ry per atom

Cell: 5.7010 6.3527 8.1274 Å, 58.68 69.47 63.34°
Closest atoms and distances in Å follow each position.
Sites, in units of the cell vectors:
I  0.7164  0.7208  0.8464  3 O 1.79-1.95
I  0.2836  0.2792  0.1536  3 O 1.79-1.95
O  0.6464  0.0389  0.1801  1 I 1.95, 1 Se 2.03
O  0.1346  0.0389  0.1801  1 I 1.95, 1 Se 2.03
O  0.6741  0.5454  0.1064  1 I 1.79
O  0.3536  0.9611  0.8199  1 I 1.95, 1 Se 2.03
O  0.3259  0.4546  0.8936  1 I 1.79
O  0.9049  0.3649  0.8252  1 Se 1.92, 1 I 2.10
O  0.0951  0.6351  0.1748  1 Se 1.92, 1 I 2.10
O  0.8654  0.9611  0.8199  1 I 1.95, 1 Se 2.03
Se  0.0000  0.0000  0.0000  6 O 1.92-2.03
Cs  0.5000  0.5000  0.5000  2 O 2.89